## BaIn2Cu (PBE)

Data for BaIn2Cu after structural relaxation.

Results
ΔE_f (eV/atom): -0.1093

a = 3.6092 Å, b = 3.6091 Å, c = 8.1438 Å
α = 90.00°, β = 90.00°, γ = 90.00°
Element x y z (fractional)
Ba  0.5000  0.5000  0.2500
Cu  0.5000  0.5000  0.7500
In  0.0000  0.0000  0.9318
In  0.0000  0.0000  0.5682

***

## Ce3SiGe2 (PBE)

Data for Ce3SiGe2 after structural relaxation.

Results
Offset from the most stable computed form (eV per atom): 0.049
Raw formation energy (eV per atom): -0.5799

a = 4.2202 Å, b = 5.9698 Å, c = 12.6658 Å
α = 90.00°, β = 90.00°, γ = 90.00°
Element x y z (fractional)
Ce  0.2506  0.5000  0.6649
Ce  0.7494  0.0000  0.5000
Ce  0.2506  0.5000  0.3351
Ce  0.7494  0.0000  0.1649
Ce  0.2506  0.5000  0.0000
Ce  0.7494  0.0000  0.8351
Si  0.7509  0.5000  0.5000
Si  0.2491  0.0000  0.0000
Ge  0.2492  0.0000  0.6673
Ge  0.2492  0.0000  0.3327
Ge  0.7508  0.5000  0.1673
Ge  0.7508  0.5000  0.8327

***

## Tl2HgI (PBE)

Data for Tl2HgI after structural relaxation.

Results
Offset from the most stable computed form (eV per atom): 0.020
Raw formation energy (eV per atom): -0.2231

a = 4.2951 Å, b = 4.2951 Å, c = 9.5702 Å
α = 77.03°, β = 77.03°, γ = 60.00°
Element x y z (fractional)
Tl  0.0803  0.0803  0.7592
Tl  0.2540  0.2540  0.2381
Hg  0.6667  0.6667  0.0000
I  0.4991  0.4991  0.5027

***

no.,energy (eV/cell),M_tot (μB/cell)
1,-11.93,0.000
2,-71.88,0.000
3,-7.48,0.000